1.
Density functional theory data (PBE) for a geometry-optimized Tb4HoBi5 structure.

The value obtained for the total DFT energy (no corrections) is -5.2211 eV/atom.

The structure belongs to space group I4/mmm (No. 139); the cell edges are 4.473, 4.473 and 31.624 Å and the angles 90.00°, 90.00° and 90.00°. The asymmetric unit holds Tb at (0.000, 0.000, 0.100), Tb at (0.000, 0.000, 0.300), Ho at (0.000, 0.000, 0.500), Bi at (0.000, 0.000, 0.000), Bi at (0.000, 0.000, 0.200) and Bi at (0.000, 0.000, 0.400).

2.
Density functional theory data (PBE) for a geometry-optimized HoTcBi structure.

The value obtained for the total DFT energy (no corrections) is -5.9425 eV/atom.

The structure belongs to space group F-43m (No. 216); the cell edges are 6.783, 6.783 and 6.783 Å and the angles 90.00°, 90.00° and 90.00°. The asymmetric unit holds Ho at (0.000, 0.000, 0.000), Tc at (0.000, 0.000, 0.500) and Bi at (0.250, 0.250, 0.250).

3.
Density functional theory data (PBE) for a geometry-optimized Ho6TcBi2 structure.

The value obtained for the total DFT energy (no corrections) is -5.5984 eV/atom.

The structure belongs to space group P-62m (No. 189); the cell edges are 8.2618, 8.2618 and 4.2741 Å and the angles 90.00°, 90.00° and 120.00°. The asymmetric unit holds Ho at (0.0000, 0.3903, 0.0000), Ho at (0.0000, 0.7675, 0.5000), Tc at (0.0000, 0.0000, 0.0000) and Bi at (0.3333, 0.6667, 0.5000).

4.
Density functional theory data (PBE) for a geometry-optimized HoTlBiTe3 structure.

The value obtained for the total DFT energy (no corrections) is -3.9980 eV/atom.

The structure belongs to space group Cmcm (No. 63); the cell edges are 4.242, 15.596 and 12.538 Å and the angles 90.00°, 90.00° and 90.00°. The asymmetric unit holds Ho at (0.000, 0.000, 0.000), Tl at (0.000, 0.293, 0.250), Bi at (0.000, 0.386, 0.750), Te at (0.000, 0.038, 0.750) and Te at (0.000, 0.360, 0.507).

- Which of these has the lowest total DFT energy (no corrections)?
  HoTcBi

- Which of these has the lowest total DFT energy (no corrections)?
  HoTcBi